The following is a DFT calculation (PBE) of a geometry-optimized Ho5GaRu4 structure.

Cell lengths 3.4180, 3.4180, 17.1774 Å; angles 90.00, 90.00, 90.00 degrees
Element x y z (fractional)
1 Ho 0.5000 0.5000 0.1109
2 Ho 0.5000 0.5000 0.3051
3 Ho 0.5000 0.5000 0.5000
4 Ho 0.5000 0.5000 0.6949
5 Ho 0.5000 0.5000 0.8891
6 Ga 0.0000 0.0000 0.0000
7 Ru 0.0000 0.0000 0.2026
8 Ru 0.0000 0.0000 0.4013
9 Ru 0.0000 0.0000 0.5987
10 Ru 0.0000 0.0000 0.7974

Computed properties:
mass density	10.7	g cm⁻³
E_form	-0.434	eV per atom
DOS(E_F)	6.61	states/eV per cell
total energy	-67.4	eV/cell



The following is a DFT calculation (PBE) of a geometry-optimized Ho3Ga4Ru structure.

Cell lengths 3.5451, 5.9751, 8.9816 Å; angles 109.43, 101.38, 90.00 degrees
Element x y z (fractional)
1 Ho 0.2232 0.2232 0.4465
2 Ho 0.7768 0.7768 0.5535
3 Ho 0.0000 0.5000 0.0000
4 Ga 0.3822 0.6189 0.7645
5 Ga 0.6178 0.3811 0.2355
6 Ga 0.6178 0.8544 0.2355
7 Ga 0.3822 0.1456 0.7645
8 Ru 0.5000 0.0000 0.0000

Computed properties:
mass density	8.3	g cm⁻³
E_form	-0.332	eV per atom
DOS(E_F)	3.29	states/eV per cell
total energy	-37.8	eV/cell



The following is a DFT calculation (PBE) of a geometry-optimized HoGa4Ru structure.

Cell lengths 4.0574, 6.8921, 7.7606 Å; angles 90.00, 90.00, 90.00 degrees
Element x y z (fractional)
1 Ho 0.0000 0.6258 0.7500
2 Ho 0.0000 0.3742 0.2500
3 Ga 0.0000 0.0000 0.5000
4 Ga 0.0000 0.0000 0.0000
5 Ga 0.5000 0.9485 0.7500
6 Ga 0.5000 0.0515 0.2500
7 Ga 0.5000 0.6772 0.0632
8 Ga 0.5000 0.3228 0.9368
9 Ga 0.5000 0.6772 0.4368
10 Ga 0.5000 0.3228 0.5632
11 Ru 0.0000 0.2006 0.7500
12 Ru 0.0000 0.7994 0.2500

Computed properties:
mass density	8.3	g cm⁻³
E_form	-0.507	eV per atom
DOS(E_F)	3.08	states/eV per cell
total energy	-58.0	eV/cell



The following is a DFT calculation (PBE) of a geometry-optimized Ho12Ga6Ru structure.

Cell lengths 8.3366, 8.3366, 8.3366 Å; angles 99.28, 99.28, 99.28 degrees
Element x y z (fractional)
1 Ho 0.8178 0.5703 0.4317
2 Ho 0.4317 0.8178 0.5703
3 Ho 0.5703 0.4317 0.8178
4 Ho 0.1822 0.4297 0.5683
5 Ho 0.5683 0.1822 0.4297
6 Ho 0.4297 0.5683 0.1822
7 Ho 0.0696 0.9617 0.3166
8 Ho 0.0383 0.6834 0.9304
9 Ho 0.6834 0.9304 0.0383
10 Ho 0.9304 0.0383 0.6834
11 Ho 0.9617 0.3166 0.0696
12 Ho 0.3166 0.0696 0.9617
13 Ga 0.6978 0.8645 0.3772
14 Ga 0.6228 0.3022 0.1355
15 Ga 0.1355 0.6228 0.3022
16 Ga 0.3022 0.1355 0.6228
17 Ga 0.3772 0.6978 0.8645
18 Ga 0.8645 0.3772 0.6978
19 Ru 0.0000 0.0000 0.0000

Computed properties:
mass density	7.5	g cm⁻³
E_form	-0.228	eV per atom
DOS(E_F)	19.47	states/eV per cell
total energy	-86.7	eV/cell



The following is a DFT calculation (PBE) of a geometry-optimized HoGa2Ru3 structure.

Cell lengths 4.0172, 5.4441, 5.4440 Å; angles 120.00, 90.00, 90.00 degrees
Site moments in Bohr magnetons follow the coordinates.
Element x y z (fractional)
1 Ho 0.0000 0.0012 0.0000  -0.07
2 Ga 0.0000 0.3345 0.6666  -0.01
3 Ga 0.0000 0.6679 0.3334  -0.01
4 Ru 0.5000 0.0012 0.5000  0.50
5 Ru 0.5000 0.5013 0.5000  0.50
6 Ru 0.5000 0.5013 0.0000  0.50

Computed properties:
mass density	9.8	g cm⁻³
E_form	-0.306	eV per atom
DOS(E_F)	7.01	states/eV per cell
total energy	-40.3	eV/cell



The following is a DFT calculation (PBE) of a geometry-optimized Ho2Ga2Ru structure.

Cell lengths 4.1487, 5.8118, 9.6111 Å; angles 89.36, 77.54, 69.09 degrees
Element x y z (fractional)
1 Ho 0.6786 0.3130 0.3297
2 Ho 0.9281 0.2640 0.8798
3 Ho 0.3214 0.6870 0.6703
4 Ho 0.0719 0.7360 0.1202
5 Ga 0.0844 0.2718 0.5593
6 Ga 0.6320 0.8503 0.8857
7 Ga 0.9156 0.7282 0.4407
8 Ga 0.3680 0.1497 0.1143
9 Ru 0.6379 0.0789 0.6453
10 Ru 0.3621 0.9211 0.3547

Computed properties:
mass density	9.0	g cm⁻³
E_form	-0.593	eV per atom
excess energy over the best structure of this formula in the dataset	0.000	eV/atom
DOS(E_F)	8.44	states/eV per cell
total energy	-54.9	eV/cell



The following is a DFT calculation (PBE) of a geometry-optimized Ho5GaRu2 structure.

Cell lengths 7.6257, 7.6257, 8.5341 Å; angles 116.54, 116.54, 90.00 degrees
Element x y z (fractional)
1 Ho 0.5246 0.7015 0.7261
2 Ho 0.7985 0.9754 0.2739
3 Ho 0.0000 0.0000 0.0000
4 Ho 0.5000 0.5000 0.0000
5 Ho 0.2015 0.0246 0.7261
6 Ho 0.7015 0.2015 0.7261
7 Ho 0.0246 0.5246 0.7261
8 Ho 0.2985 0.7985 0.2739
9 Ho 0.9754 0.4754 0.2739
10 Ho 0.4754 0.2985 0.2739
11 Ga 0.7500 0.7500 0.5000
12 Ga 0.2500 0.2500 0.5000
13 Ru 0.1398 0.3602 0.0000
14 Ru 0.6398 0.1399 0.0000
15 Ru 0.3601 0.8602 0.0000
16 Ru 0.8601 0.6399 0.0000

Computed properties:
mass density	9.5	g cm⁻³
E_form	-0.434	eV per atom
DOS(E_F)	12.00	states/eV per cell
total energy	-95.9	eV/cell



The following is a DFT calculation (PBE) of a geometry-optimized Ho5Ga5Ru2 structure.

Cell lengths 4.3645, 7.8422, 8.2056 Å; angles 90.41, 74.58, 73.84 degrees
Element x y z (fractional)
1 Ho 0.0000 0.5000 0.5000
2 Ho 0.6972 0.6815 0.9240
3 Ho 0.3648 0.9466 0.3239
4 Ho 0.6352 0.0534 0.6761
5 Ho 0.3028 0.3185 0.0760
6 Ga 0.7134 0.2312 0.3421
7 Ga 0.9497 0.2898 0.8107
8 Ga 0.0503 0.7102 0.1893
9 Ga 0.2866 0.7688 0.6579
10 Ga 0.0000 0.0000 0.0000
11 Ru 0.4030 0.4464 0.7477
12 Ru 0.5970 0.5536 0.2523

Computed properties:
mass density	8.8	g cm⁻³
E_form	-0.541	eV per atom
DOS(E_F)	9.11	states/eV per cell
total energy	-63.1	eV/cell



The following is a DFT calculation (PBE) of a geometry-optimized HoGa3Ru3 structure.

Cell lengths 6.6748, 6.6748, 6.6748 Å; angles 90.00, 90.00, 90.00 degrees
Element x y z (fractional)
1 Ru 0.0000 0.2500 0.5000
2 Ru 0.0000 0.7500 0.5000
3 Ru 0.5000 0.0000 0.7500
4 Ru 0.7500 0.5000 0.0000
5 Ru 0.5000 0.0000 0.2500
6 Ru 0.2500 0.5000 0.0000
7 Ho 0.5000 0.5000 0.5000
8 Ho 0.0000 0.0000 0.0000
9 Ga 0.2500 0.0000 0.5000
10 Ga 0.0000 0.5000 0.2500
11 Ga 0.5000 0.7500 0.0000
12 Ga 0.7500 0.0000 0.5000
13 Ga 0.0000 0.5000 0.7500
14 Ga 0.5000 0.2500 0.0000

Computed properties:
mass density	7.6	g cm⁻³
E_form	0.352	eV per atom
DOS(E_F)	10.94	states/eV per cell
total energy	-78.0	eV/cell



The following is a DFT calculation (PBE) of a geometry-optimized Ho4GaRu structure.

Cell lengths 6.1545, 7.9404, 7.9023 Å; angles 114.33, 105.83, 103.43 degrees
Element x y z (fractional)
1 Ho 0.0285 0.2213 0.8665
2 Ho 0.7895 0.7048 0.6481
3 Ho 0.3380 0.6452 0.8665
4 Ho 0.3587 0.9433 0.6481
5 Ho 0.6413 0.0567 0.3519
6 Ho 0.6620 0.3548 0.1335
7 Ho 0.2105 0.2952 0.3519
8 Ho 0.9715 0.7787 0.1335
9 Ga 0.3812 0.6312 0.2623
10 Ga 0.6188 0.3688 0.7377
11 Ru 0.2503 0.0003 0.0005
12 Ru 0.7497 0.9997 0.9995

Computed properties:
mass density	8.9	g cm⁻³
E_form	-0.401	eV per atom
DOS(E_F)	12.05	states/eV per cell
total energy	-66.0	eV/cell



The following is a DFT calculation (PBE) of a geometry-optimized HoGaRu2 structure.

Cell lengths 3.3651, 4.4335, 4.4335 Å; angles 90.00, 90.00, 90.00 degrees
Element x y z (fractional)
1 Ru 0.0000 0.0000 0.5000
2 Ru 0.0000 0.5000 0.0000
3 Ho 0.5000 0.0000 0.0000
4 Ga 0.5000 0.5000 0.5000

Computed properties:
mass density	11.0	g cm⁻³
E_form	-0.298	eV per atom
DOS(E_F)	5.43	states/eV per cell
total energy	-27.3	eV/cell



The following is a DFT calculation (PBE) of a geometry-optimized Ho3GaRu structure.

Cell lengths 4.5883, 6.6956, 8.2019 Å; angles 90.00, 90.00, 90.00 degrees
Element x y z (fractional)
1 Ho 0.7500 0.7500 0.0561
2 Ho 0.2500 0.2500 0.9439
3 Ho 0.7500 0.9989 0.6604
4 Ho 0.7500 0.5011 0.6604
5 Ho 0.2500 0.0011 0.3396
6 Ho 0.2500 0.4989 0.3396
7 Ga 0.7500 0.2500 0.1804
8 Ga 0.2500 0.7500 0.8196
9 Ru 0.7500 0.7500 0.3822
10 Ru 0.2500 0.2500 0.6178

Computed properties:
mass density	8.8	g cm⁻³
E_form	-0.340	eV per atom
excess energy over the best structure of this formula in the dataset	0.124	eV/atom
DOS(E_F)	7.53	states/eV per cell
total energy	-55.5	eV/cell



Please write out number 6 again, unchanged.
The following is a DFT calculation (PBE) of a geometry-optimized Ho2Ga2Ru structure.

Cell lengths 4.1487, 5.8118, 9.6111 Å; angles 89.36, 77.54, 69.09 degrees
Element x y z (fractional)
1 Ho 0.6786 0.3130 0.3297
2 Ho 0.9281 0.2640 0.8798
3 Ho 0.3214 0.6870 0.6703
4 Ho 0.0719 0.7360 0.1202
5 Ga 0.0844 0.2718 0.5593
6 Ga 0.6320 0.8503 0.8857
7 Ga 0.9156 0.7282 0.4407
8 Ga 0.3680 0.1497 0.1143
9 Ru 0.6379 0.0789 0.6453
10 Ru 0.3621 0.9211 0.3547

Computed properties:
mass density	9.0	g cm⁻³
E_form	-0.593	eV per atom
excess energy over the best structure of this formula in the dataset	0.000	eV/atom
DOS(E_F)	8.44	states/eV per cell
total energy	-54.9	eV/cell



> Which value of E_form does entry 9 give?

0.352 eV per atom